(1)
Computed, not measured: an optimized crystal structure of ZnP2Au at the PBE-GGA level of DFT.

a = 4.813 Å, b = 4.813 Å, c = 4.813 Å
α = 129.05°, β = 129.05°, γ = 74.93°
Fractional coordinates of all 4 atoms:
Au: 0.750 0.250 0.500
P: 0.000 0.000 0.000
P: 0.250 0.750 0.500
Zn: 0.500 0.500 0.000

- DOS(E_F): 0.451 states/eV/atom
- Total energy: -3.387 eV/atom
- ΔH_f (0 K): 0.4562 eV/atom

***

(2)
Computed, not measured: an optimized crystal structure of ZnP2Au at the PBE-GGA level of DFT.

a = 4.872 Å, b = 4.872 Å, c = 4.872 Å
α = 130.20°, β = 130.20°, γ = 73.09°
Fractional coordinates of all 4 atoms:
Au: 0.750 0.250 0.500
P: 0.000 0.000 0.000
P: 0.500 0.500 0.000
Zn: 0.250 0.750 0.500

- DOS(E_F): 0.356 states/eV/atom
- Total energy: -3.356 eV/atom
- ΔH_f (0 K): 0.4865 eV/atom

***

(3)
Computed, not measured: an optimized crystal structure of Zn2PAu at the PBE-GGA level of DFT.

a = 2.780 Å, b = 2.780 Å, c = 8.476 Å
α = 90.00°, β = 90.00°, γ = 96.23°
Fractional coordinates of all 4 atoms:
Zn: 0.000 0.000 0.993
Zn: 0.500 0.500 0.763
P: 0.500 0.500 0.221
Au: 0.000 0.000 0.523

- DOS(E_F): 0.273 states/eV/atom
- Total energy: -2.611 eV/atom
- ΔH_f (0 K): 0.1975 eV/atom

***

- Among the records above, which one has the highest total energy?
  Zn2PAu

***

- Which of these has the lowest ΔH_f (0 K)?
  Zn2PAu